TlZn2Bi | GGA-PBE | optimized geometry

POSCAR file:
```
TlZn2Bi
1.0
-4.226 1.813 0.014
-2.734 -0.570 3.653
-0.298 5.112 3.468
Zn Tl Bi
2 1 1
Cartesian
-1.852 1.503 1.743 Zn
-5.407 4.852 5.392 Zn
-3.629 3.177 3.567 Tl
0.000 0.000 0.000 Bi
```

The space group is R-3m. The calculation puts the energy of formation at 0.16 eV per atom. For the uncorrected energy, the calculation gives -2.038 eV per atom. Its density of states at the Fermi level is 1.41 states/eV per cell.


TbPm3Er2Bi6 | GGA-PBE | optimized geometry

POSCAR file:
```
TbPm3Er2Bi6
1.0
-3.704 1.926 -1.737
-4.734 -7.487 1.793
0.784 4.382 9.070
Tb Pm Er Bi
1 3 2 6
Cartesian
-1.852 0.963 -0.869 Tb
-4.219 -2.781 0.028 Pm
-3.356 3.281 4.907 Pm
-4.298 -4.461 4.219 Pm
-5.720 -0.468 5.791 Er
-1.934 -0.712 3.335 Er
-5.028 -3.248 7.119 Bi
-4.949 -1.563 2.935 Bi
-2.626 2.068 2.007 Bi
-1.176 -1.827 0.481 Bi
-6.478 0.647 8.645 Bi
-2.705 0.383 6.192 Bi
```

The space group is C2/m. The calculation puts the energy of formation at -0.89 eV per atom. For the uncorrected energy, the calculation gives -5.161 eV per atom. Its density of states at the Fermi level is 2.01 states/eV per cell.


TaV3Ru6 | GGA-PBE | optimized geometry

POSCAR file:
```
TaV3Ru6
1.0
-0.573 -1.087 -3.882
7.584 -2.209 -0.501
-3.227 -7.857 2.676
Ta V Ru
2 6 12
Cartesian
5.036 -7.177 0.198 Ta
-1.253 -3.976 -1.906 Ta
2.842 -4.628 -0.192 V
0.941 -6.525 -1.516 V
-0.225 -7.517 1.070 V
4.009 -3.636 -2.778 V
2.473 -9.420 1.204 V
1.310 -1.733 -2.912 V
3.044 -2.132 -0.920 Ru
0.740 -9.021 -0.788 Ru
0.327 -2.313 -0.469 Ru
3.456 -8.840 -1.239 Ru
2.297 -6.984 0.548 Ru
1.487 -4.168 -2.256 Ru
0.204 -4.917 0.278 Ru
3.579 -6.236 -1.986 Ru
5.213 -4.174 -0.669 Ru
-1.429 -6.979 -1.039 Ru
-2.619 -7.628 1.454 Ru
6.402 -3.525 -3.162 Ru
```

The space group is P2_1/m. The calculation puts the energy of formation at -0.25 eV per atom. For the uncorrected energy, the calculation gives -9.735 eV per atom. Its density of states at the Fermi level is 13.10 states/eV per cell.


KZrMo | GGA-PBE | optimized geometry

POSCAR file:
```
KZrMo
1.0
5.424 0.000 0.000
-2.712 4.697 0.000
0.000 0.000 2.650
K Mo Zr
1 1 1
Cartesian
0.000 0.000 2.203 K
2.712 1.566 0.885 Mo
0.000 3.132 2.211 Zr
```

The space group is P3m1. The calculation puts the energy of formation at 1.16 eV per atom. The calculation puts the excess energy over the best structure of this formula in the dataset at 399 meV per atom. For the uncorrected energy, the calculation gives -5.663 eV per atom. Its density of states at the Fermi level is 1.78 states/eV per cell.


Sm2AlTlGe | GGA-PBE | optimized geometry

POSCAR file:
```
Sm2AlTlGe
1.0
4.265 0.000 0.000
0.000 7.291 0.335
0.000 -2.750 8.680
Sm Al Tl Ge
4 2 2 2
Cartesian
3.199 4.190 5.394 Sm
3.199 5.388 0.384 Sm
1.066 0.352 3.621 Sm
1.066 -0.846 8.631 Sm
1.066 1.795 6.552 Al
3.199 2.746 2.463 Al
1.066 4.469 2.869 Tl
3.199 0.073 6.146 Tl
1.066 4.020 7.463 Ge
3.199 0.521 1.552 Ge
```

The space group is P2_1/m. The calculation puts the energy of formation at -0.42 eV per atom. For the uncorrected energy, the calculation gives -4.451 eV per atom. Its density of states at the Fermi level is 5.53 states/eV per cell.


SmHo3Mg | GGA-PBE | optimized geometry

POSCAR file:
```
SmHo3Mg
1.0
-3.042 1.261 -1.614
-4.657 -4.740 0.910
-3.864 4.924 11.137
Sm Ho Mg
2 6 2
Cartesian
-6.125 1.512 8.565 Sm
-5.438 -0.068 1.868 Sm
-5.417 -0.956 5.302 Ho
-2.449 -0.696 -0.091 Ho
-5.153 -3.431 2.870 Ho
-6.146 2.400 5.130 Ho
-6.410 4.875 7.563 Ho
-9.114 2.140 10.523 Ho
-8.233 -0.435 6.852 Mg
-3.330 1.880 3.581 Mg
```

The space group is C2/m. The calculation puts the energy of formation at -0.02 eV per atom. The calculation puts the excess energy over the best structure of this formula in the dataset at 0 meV per atom. For the uncorrected energy, the calculation gives -4.025 eV per atom. Its density of states at the Fermi level is 13.50 states/eV per cell.


CrCdIr2 | GGA-PBE | optimized geometry

POSCAR file:
```
CrCdIr2
1.0
7.120 0.000 0.000
0.000 7.120 0.000
3.560 3.560 2.666
Cr Ir Cd
2 4 2
Cartesian
3.560 3.560 0.000 Cr
3.560 7.120 1.333 Cr
4.913 1.780 0.667 Ir
2.207 5.340 0.667 Ir
5.340 5.767 2.000 Ir
8.900 8.473 2.000 Ir
0.000 0.000 0.000 Cd
7.120 3.560 1.333 Cd
```

The space group is I-42d. The calculation puts the energy of formation at 0.48 eV per atom. For the uncorrected energy, the calculation gives -6.583 eV per atom. Its density of states at the Fermi level is 3.21 states/eV per cell.


La2MgCo3H12 | GGA-PBE | optimized geometry

POSCAR file:
```
La2MgCo3H12
1.0
-0.593 3.748 -4.432
-2.535 -2.050 -4.839
-5.405 1.889 -1.124
La Mg Co H
2 1 3 12
Cartesian
-5.265 2.214 -6.414 La
-3.268 1.374 -3.981 La
0.000 0.000 0.000 Mg
-0.296 1.874 -2.216 Co
-1.267 -1.025 -2.419 Co
-2.702 0.945 -0.562 Co
-5.776 2.205 -3.853 H
-4.871 2.240 -8.665 H
-7.278 1.310 -7.010 H
-2.971 3.289 -5.782 H
-6.306 4.210 -6.807 H
-4.103 -0.092 -6.019 H
-2.756 1.382 -6.541 H
-3.661 1.348 -1.729 H
-1.255 2.277 -3.384 H
-5.562 0.298 -4.613 H
-2.226 -0.622 -3.587 H
-4.430 3.679 -4.375 H
```

The space group is R-3m. For the uncorrected energy, the calculation gives -4.325 eV per atom. Its density of states at the Fermi level is 8.12 states/eV per cell.


Ba2GeBiPt | GGA-PBE | optimized geometry

POSCAR file:
```
Ba2GeBiPt
1.0
-2.835 4.290 3.546
-0.055 -4.001 4.797
4.206 1.621 1.401
Ge Bi Pt Ba
1 1 1 2
Cartesian
2.103 0.811 0.700 Ge
0.658 0.955 4.872 Bi
0.000 0.000 0.000 Pt
-0.028 -2.001 2.398 Ba
-1.418 2.145 1.773 Ba
```

The space group is P4/mmm. The calculation puts the energy of formation at -0.66 eV per atom. For the uncorrected energy, the calculation gives -4.337 eV per atom. Its density of states at the Fermi level is 3.37 states/eV per cell.


ScCrPbSe2 | GGA-PBE | optimized geometry

POSCAR file:
```
ScCrPbSe2
1.0
-4.440 1.205 1.638
0.044 -3.837 2.940
2.032 2.716 3.514
Pb Cr Sc Se
1 1 1 2
Cartesian
-1.182 0.042 4.046 Pb
0.000 0.000 0.000 Cr
0.022 -1.918 1.470 Sc
1.016 1.358 1.757 Se
-2.220 0.602 0.819 Se
```

The space group is P4/mmm. The value obtained for the uncorrected formation energy is 16 meV per atom. For the uncorrected energy, the calculation gives -5.311 eV per atom. Its density of states at the Fermi level is 5.42 states/eV per cell.


Th2Al3Ru2 | GGA-PBE | optimized geometry

POSCAR file:
```
Th2Al3Ru2
1.0
4.187 0.000 0.000
-2.094 5.072 -0.249
0.000 -2.654 6.766
Th Al Ru
2 3 2
Cartesian
2.094 3.026 1.362 Th
0.000 -0.608 5.154 Th
2.094 0.000 0.000 Al
2.094 0.260 2.889 Al
0.000 2.159 3.627 Al
2.094 1.600 5.190 Ru
0.000 0.818 1.326 Ru
```

The space group is C2/m. The calculation puts the energy of formation at -0.61 eV per atom. For the uncorrected energy, the calculation gives -6.985 eV per atom. Its density of states at the Fermi level is 4.46 states/eV per cell.


PaMnMo | GGA-PBE | optimized geometry

POSCAR file:
```
PaMnMo
1.0
-2.510 -1.414 0.699
-2.355 -2.546 -4.940
1.648 -6.349 -0.308
Pa Mn Mo
2 2 2
Cartesian
-1.407 -3.310 -2.032 Pa
-1.811 -7.000 -2.517 Pa
1.091 -6.763 -1.267 Mn
-4.308 -3.546 -3.281 Mn
-0.764 -5.348 -0.055 Mo
-2.453 -4.961 -4.493 Mo
```

The space group is P-1. The calculation puts the energy of formation at 0.11 eV per atom. The calculation puts the excess energy over the best structure of this formula in the dataset at 0 meV per atom. For the uncorrected energy, the calculation gives -9.723 eV per atom. Its density of states at the Fermi level is 7.68 states/eV per cell.


Which total magnetization belongs to each record? In order, 0.000, 0.000, 0.000, 0.000, 0.000, 0.001, 0.000, 0.944, 0.000, 2.109, 0.000, 0.000 μB per cell.
Which volume belongs to each record? In order, 102.29, 391.90, 284.96, 67.51, 273.85, 301.76, 135.19, 150.87, 184.19, 115.30, 140.93, 102.70 Å³ per cell.